# ZrMoWO8 PBE+U relaxed
data_ZrMoWO8
_symmetry_space_group_name_H-M 'P 1'
_symmetry_Int_Tables_number 1
_cell_length_a 8.386
_cell_length_b 8.386
_cell_length_c 8.386
_cell_angle_alpha 72.77
_cell_angle_beta 72.77
_cell_angle_gamma 72.77
loop_
_symmetry_equiv_pos_as_xyz
'x,y,z'
loop_
_atom_site_label
_atom_site_fract_x
_atom_site_fract_y
_atom_site_fract_z
Zr1 0.000 0.000 0.000
Zr2 0.289 0.289 0.289
Zr3 0.702 0.702 0.702
Mo1 0.257 0.572 0.857
Mo2 0.572 0.857 0.257
Mo3 0.857 0.257 0.572
W1 0.135 0.729 0.429
W2 0.429 0.135 0.729
W3 0.729 0.429 0.135
O1 0.065 0.203 0.422
O2 0.083 0.872 0.226
O3 0.117 0.770 0.908
O4 0.183 0.562 0.681
O5 0.190 0.524 0.369
O6 0.203 0.422 0.065
O7 0.226 0.083 0.872
O8 0.310 0.808 0.433
O9 0.369 0.190 0.524
O10 0.422 0.065 0.203
O11 0.433 0.310 0.808
O12 0.463 0.624 0.803
O13 0.524 0.369 0.190
O14 0.562 0.681 0.183
O15 0.573 0.922 0.790
O16 0.624 0.803 0.463
O17 0.681 0.183 0.562
O18 0.770 0.908 0.117
O19 0.790 0.573 0.922
O20 0.803 0.463 0.624
O21 0.808 0.433 0.310
O22 0.872 0.226 0.083
O23 0.908 0.117 0.770
O24 0.922 0.790 0.573
# VASP energy = -259.1 eV/cell
# DOS at the Fermi energy = 0.00 states/eV/atom
# Magnetic moment = 0.00 Bohr magnetons per cell
# Space-group type = No. 146